An optimized crystal structure of KTlCd2, computed with PBE-GGA.

Calculated values
calculated total energy: -1.240 eV/atom
V: 310 Å³ per cell

Geometry as POSCAR:
```
KTlCd2
1.0
-0.629 4.116 -3.381
2.450 -2.799 -3.864
-8.591 -3.354 -6.740
Tl K Cd
2 2 4
Direct
0.000 0.000 0.000
0.750 0.250 0.500
0.500 0.500 0.000
0.250 0.750 0.500
0.762 0.125 0.250
0.988 0.625 0.250
0.375 0.238 0.750
0.875 0.012 0.750
```


An optimized crystal structure of NdNpIr4, computed with PBE-GGA.

Calculated values
calculated total energy: -9.391 eV/atom
V: 111 Å³ per cell

Geometry as POSCAR:
```
NdNpIr4
1.0
-2.230 -3.148 -3.768
-3.138 -4.137 1.455
-5.315 0.206 -0.885
Np Ir Nd
1 4 1
Direct
0.000 0.000 0.000
0.625 0.625 0.124
0.625 0.124 0.625
0.625 0.625 0.625
0.124 0.625 0.625
0.250 0.250 0.250
```


An optimized crystal structure of LaTm2US8, computed with PBE-GGA.

Calculated values
ΔE_f (raw): -1519.4 meV per atom
V: 307 Å³ per cell

Geometry as POSCAR:
```
LaTm2US8
1.0
-4.039 -0.050 4.658
2.365 -5.073 1.958
5.413 4.347 4.742
La Tm U S
1 2 1 8
Direct
0.000 0.000 0.500
0.500 0.500 0.760
0.500 0.500 0.240
0.000 0.000 0.000
0.131 0.749 0.226
0.655 0.752 0.000
0.868 0.250 0.225
0.869 0.251 0.774
0.345 0.248 0.000
0.132 0.750 0.775
0.561 0.768 0.500
0.439 0.232 0.500
```


An optimized crystal structure of AlTe2C, computed with PBE-GGA.

Calculated values
ΔE_f (raw): 970.8 meV per atom
V: 202 Å³ per cell

Geometry as POSCAR:
```
AlTe2C
1.0
-4.441 1.491 -2.894
-0.557 -5.171 -1.809
-6.373 -3.249 2.866
C Te Al
2 4 2
Direct
0.500 0.500 0.000
0.250 0.750 0.500
0.569 0.125 0.250
0.181 0.625 0.250
0.375 0.431 0.750
0.875 0.819 0.750
0.000 0.000 0.000
0.750 0.250 0.500
```


An optimized crystal structure of LiEr2Co, computed with PBE-GGA.

Calculated values
calculated total energy: -4.632 eV/atom
V: 89 Å³ per cell

Geometry as POSCAR:
```
LiEr2Co
1.0
3.338 0.000 0.000
0.000 3.338 0.000
0.000 0.000 7.942
Li Co Er
1 1 2
Direct
0.500 0.500 0.500
0.500 0.500 0.000
0.000 0.000 0.799
0.000 0.000 0.201
```


An optimized crystal structure of ZrIn2Tc, computed with PBE-GGA.

Calculated values
calculated total energy: -5.976 eV/atom
V: 80 Å³ per cell

Geometry as POSCAR:
```
ZrIn2Tc
1.0
-5.785 0.996 1.179
1.369 -4.880 -2.040
-0.723 -1.604 2.457
In Tc Zr
2 1 1
Direct
0.000 0.000 0.000
0.500 0.000 0.500
0.000 0.500 0.500
0.500 0.500 0.000
```


Q: Which value of V does entry 5 give?
A: 89 Å³ per cell


Q: The highest V belongs to which entry?
A: KTlCd2


Q: V of number 2 (NdNpIr4)?
A: 111 Å³ per cell


Q: Which of these has the highest V?
A: KTlCd2